No. 1
DFT (PBE) results for a relaxed MgZrW2 crystal.

Structure (CIF):
```
data_MgZrW2
_chemical_formula_sum 'Mg2 Zr2 W4'
_cell_length_a 3.402
_cell_length_b 4.762
_cell_length_c 9.291
_cell_angle_alpha 90.00
_cell_angle_beta 90.00
_cell_angle_gamma 90.00
_symmetry_space_group_name_H-M 'I m m 2'
_symmetry_Int_Tables_number 44
loop_
_symmetry_equiv_pos_as_xyz
'x,y,z'
'-x,-y,z'
'-x,y,z'
'x,-y,z'
'x+1/2,y+1/2,z+1/2'
'-x+1/2,-y+1/2,z+1/2'
'-x+1/2,y+1/2,z+1/2'
'x+1/2,-y+1/2,z+1/2'
loop_
_atom_site_label
_atom_site_fract_x
_atom_site_fract_y
_atom_site_fract_z
Mg1 0.000 0.000 0.000
Zr1 0.000 0.500 0.227
W1 0.000 0.000 0.466
W2 0.000 0.500 0.763
```

Summary:
As for the size of the total moment: 0.00 μB/f.u. Its density of states at the Fermi level is 1.33 states/eV per atom. The value obtained for the formation energy is 1.33 eV/f.u.


No. 2
DFT (PBE) results for a relaxed MgZrW2 crystal.

Structure (CIF):
```
data_MgZrW2
_chemical_formula_sum 'Mg4 Zr4 W8'
_cell_length_a 7.544
_cell_length_b 7.544
_cell_length_c 5.429
_cell_angle_alpha 90.00
_cell_angle_beta 90.00
_cell_angle_gamma 90.00
_symmetry_space_group_name_H-M 'I -4 2 d'
_symmetry_Int_Tables_number 122
_symmetry_space_group_name_Hall 'I -4 2bw'
loop_
_atom_site_label
_atom_site_fract_x
_atom_site_fract_y
_atom_site_fract_z
Mg1 0.000 0.000 0.000
Zr1 0.000 0.000 0.500
W1 0.234 0.250 0.125
```

Summary:
As for the size of the total moment: 0.00 μB/f.u. Its density of states at the Fermi level is 0.81 states/eV per atom. The value obtained for the formation energy is 4.42 eV/f.u.


No. 3
DFT (PBE) results for a relaxed MgZrW2 crystal.

Structure (CIF):
```
data_MgZrW2
_chemical_formula_sum 'Mg3 Zr3 W6'
_cell_length_a 2.8806
_cell_length_b 2.8806
_cell_length_c 30.5490
_cell_angle_alpha 90.00
_cell_angle_beta 90.00
_cell_angle_gamma 120.00
_symmetry_space_group_name_H-M 'R -3 m'
_symmetry_Int_Tables_number 166
_symmetry_space_group_name_Hall '-R 3 2"'
loop_
_atom_site_label
_atom_site_fract_x
_atom_site_fract_y
_atom_site_fract_z
Mg1 0.0000 0.0000 0.0000
Zr1 0.0000 0.0000 0.5000
W1 0.0000 0.0000 0.2527
```

Summary:
As for the size of the total moment: 0.00 μB/f.u. Its density of states at the Fermi level is 0.85 states/eV per atom. The value obtained for the formation energy is 2.04 eV/f.u.


No. 4
DFT (PBE) results for a relaxed MgZr2W2 crystal.

Structure (CIF):
```
data_MgZr2W2
_chemical_formula_sum 'Mg2 Zr4 W4'
_cell_length_a 7.629
_cell_length_b 7.629
_cell_length_c 3.560
_cell_angle_alpha 90.00
_cell_angle_beta 90.00
_cell_angle_gamma 90.00
_symmetry_space_group_name_H-M 'P 4/m b m'
_symmetry_Int_Tables_number 127
_symmetry_space_group_name_Hall '-P 4 2ab'
loop_
_atom_site_label
_atom_site_fract_x
_atom_site_fract_y
_atom_site_fract_z
Mg1 0.000 0.000 0.000
Zr1 0.182 0.318 0.500
W1 0.113 0.613 0.000
```

Summary:
The calculation puts the relative energy among the computed polymorphs at 0.000 eV/f.u. As for the size of the total moment: 0.00 μB/f.u. Its density of states at the Fermi level is 0.61 states/eV per atom. The value obtained for the formation energy is 1.72 eV/f.u.


No. 5
DFT (PBE) results for a relaxed MgZrW2 crystal.

Structure (CIF):
```
data_MgZrW2
_chemical_formula_sum 'Mg1 Zr1 W2'
_cell_length_a 2.760
_cell_length_b 2.760
_cell_length_c 9.541
_cell_angle_alpha 90.00
_cell_angle_beta 90.00
_cell_angle_gamma 90.00
_symmetry_space_group_name_H-M 'P 4/m m m'
_symmetry_Int_Tables_number 123
_symmetry_space_group_name_Hall '-P 4 2'
loop_
_atom_site_label
_atom_site_fract_x
_atom_site_fract_y
_atom_site_fract_z
Mg1 0.000 0.000 0.000
Zr1 0.000 0.000 0.500
W1 0.500 0.500 0.243
```

Summary:
As for the size of the total moment: 0.00 μB/f.u. Its density of states at the Fermi level is 0.83 states/eV per atom. The value obtained for the formation energy is 1.65 eV/f.u.


No. 6
DFT (PBE) results for a relaxed MgZr2W crystal.

Structure (CIF):
```
data_MgZr2W
_chemical_formula_sum 'Mg2 Zr4 W2'
_cell_length_a 3.478
_cell_length_b 4.840
_cell_length_c 9.865
_cell_angle_alpha 90.00
_cell_angle_beta 90.00
_cell_angle_gamma 90.00
_symmetry_space_group_name_H-M 'C m m m'
_symmetry_Int_Tables_number 65
_symmetry_space_group_name_Hall '-C 2 2'
loop_
_atom_site_label
_atom_site_fract_x
_atom_site_fract_y
_atom_site_fract_z
Mg1 0.000 0.000 0.000
Zr1 0.000 0.500 0.275
W1 0.000 0.000 0.500
```

Summary:
As for the size of the total moment: 0.00 μB/f.u. Its density of states at the Fermi level is 1.17 states/eV per atom. The value obtained for the formation energy is 0.46 eV/f.u.


no.,calculated density (g cm⁻³)
1,10.66
2,10.39
3,10.96
4,9.21
5,11.04
6,7.81